Material: Sm2Ho3ThTe6
Method: DFT, PBE
State: optimized geometry

Properties
Energy relative to the elements, uncorrected   -1248 meV per atom
DFT total energy   -5.37 eV/atom
V   30.061 Å³ per atom

a = 19.4408 Å, b = 4.3285 Å, c = 8.9274 Å
α = 90.00°, β = 106.19°, γ = 90.00°
Space group C2/m (No. 12)
Inequivalent atoms, fractional coordinates:
Sm 0.1593 0.0000 0.3171 [4 per cell]
Ho 0.0000 0.5000 0.5000 [2 per cell]
Ho 0.1650 0.0000 0.8281 [4 per cell]
Th 0.0000 0.5000 0.0000 [2 per cell]
Te 0.0044 0.0000 0.7410 [4 per cell]
Te 0.1677 0.5000 0.5828 [4 per cell]
Te 0.1710 0.5000 0.0722 [4 per cell]